A plane-wave DFT calculation with GGA-PBE was carried out for a relaxed structure of MgCd3F6.

Cell: 5.936 6.175 10.514 Å, 90.00 124.13 90.00°
Positions (direct):
Mg 0.000 0.000 0.000
Mg 0.000 0.500 0.500
Cd 0.217 0.097 0.713
Cd 0.217 0.403 0.213
Cd 0.500 0.000 0.500
Cd 0.500 0.500 0.000
Cd 0.783 0.597 0.787
Cd 0.783 0.903 0.287
F 0.049 0.579 0.328
F 0.049 0.921 0.828
F 0.076 0.695 0.055
F 0.076 0.805 0.555
F 0.392 0.096 0.155
F 0.392 0.404 0.655
F 0.608 0.596 0.345
F 0.608 0.904 0.845
F 0.924 0.195 0.445
F 0.924 0.305 0.945
F 0.951 0.079 0.172
F 0.951 0.421 0.672

Total energy = -3.80 eV/atom
Density = 5.0 g/cm³
Space group = No. 14
Energy relative to the elements, uncorrected = -22.4 eV/f.u.

A plane-wave DFT calculation with GGA-PBE was carried out for a relaxed structure of BaNi2H.

Cell: 4.594 4.594 4.594 Å, 60.00 60.00 60.00°
Positions (direct):
Ba 0.000 0.000 0.000
Ni 0.250 0.250 0.250
Ni 0.750 0.750 0.750
H 0.500 0.500 0.500

Total energy = -3.19 eV/atom
Density = 6.2 g/cm³
Space group = No. 225
Offset from the most stable computed form = 1.007 eV per atom

A plane-wave DFT calculation with GGA-PBE was carried out for a relaxed structure of Pm6Er5.

Cell: 8.388 8.388 6.040 Å, 105.76 105.76 105.04°
Positions (direct):
Pm 0.046 0.326 0.614
Pm 0.184 0.184 0.095
Pm 0.326 0.046 0.614
Pm 0.674 0.954 0.386
Pm 0.816 0.816 0.905
Pm 0.954 0.674 0.386
Er 0.233 0.767 0.000
Er 0.370 0.630 0.500
Er 0.500 0.500 0.000
Er 0.630 0.370 0.500
Er 0.767 0.233 0.000

Formation enthalpy at 0 K = 0.12 eV/atom
Total energy = -4.54 eV/atom
Density = 7.7 g/cm³
Space group = No. 12

A plane-wave DFT calculation with GGA-PBE was carried out for a relaxed structure of ScGa2BiBr.

Cell: 5.527 5.527 4.970 Å, 90.00 90.00 90.00°
Positions (direct):
Sc 0.000 0.000 0.000
Ga 0.000 0.500 0.000
Ga 0.500 0.000 0.000
Bi 0.500 0.500 0.500
Br 0.000 0.000 0.500

Total energy = -3.46 eV/atom
Density = 5.2 g/cm³
Space group = No. 123
Energy relative to the elements, uncorrected = 0.6 eV/f.u.

A plane-wave DFT calculation with GGA-PBE was carried out for a relaxed structure of La2AsPt.

Cell: 6.789 6.789 6.789 Å, 110.59 110.59 107.25°
Positions (direct):
La 0.115 0.625 0.990
La 0.375 0.365 0.490
La 0.635 0.125 0.010
La 0.875 0.885 0.510
As 0.250 0.750 0.500
As 0.500 0.500 0.000
Pt 0.000 0.000 0.000
Pt 0.750 0.250 0.500

Formation enthalpy at 0 K = -0.98 eV/atom
Total energy = -6.12 eV/atom
Density = 7.6 g/cm³
Space group = No. 122

A plane-wave DFT calculation with GGA-PBE was carried out for a relaxed structure of Li2RuBr.

Cell: 4.521 4.521 4.521 Å, 60.00 60.00 60.00°
Positions (direct):
Li 0.250 0.250 0.250
Li 0.750 0.750 0.750
Ru 0.000 0.000 0.000
Br 0.500 0.500 0.500

Total energy = -3.32 eV/atom
Density = 5.0 g/cm³
Space group = No. 225
Energy relative to the elements, uncorrected = 1.5 eV/f.u.
Offset from the most stable computed form = 0.404 eV per atom